Entry from the Alexandria database: a relaxed KIn3 crystal (PBE).

Unit cell a=7.8378 b=13.6003 c=5.0462 alpha=90.00 beta=90.00 gamma=90.00
Last column: nearest neighbours and their distance in Å.
Element x y z (fractional)
K  0.0000  0.1669  0.2500  12 In 3.63-3.94
K  0.0000  0.8331  0.7500  12 In 3.63-3.94
K  0.5000  0.3331  0.7500  12 In 3.63-3.94
K  0.5000  0.6669  0.2500  12 In 3.63-3.94
In  0.0000  0.3591  0.7500  6 In 3.17-3.32
In  0.0000  0.6409  0.2500  6 In 3.17-3.32
In  0.2115  0.4297  0.2500  6 In 3.17-3.32
In  0.2115  0.5703  0.7500  6 In 3.17-3.32
In  0.2885  0.0703  0.7500  6 In 3.17-3.32
In  0.2885  0.9297  0.2500  6 In 3.17-3.32
In  0.5000  0.1409  0.2500  6 In 3.17-3.32
In  0.5000  0.8591  0.7500  6 In 3.17-3.32
In  0.7115  0.0703  0.7500  6 In 3.17-3.32
In  0.7115  0.9297  0.2500  6 In 3.17-3.32
In  0.7885  0.4297  0.2500  6 In 3.17-3.32
In  0.7885  0.5703  0.7500  6 In 3.17-3.32

Results
* size of the total moment: 0.00 μB per cell
* theoretical density: 4.74 g cm⁻³
* DFT formation energy: -0.062 eV per atom


Entry from the Alexandria database: a relaxed K2In crystal (PBE).

Unit cell a=7.2319 b=7.2319 c=7.2319 alpha=60.00 beta=60.00 gamma=60.00
Last column: nearest neighbours and their distance in Å.
Element x y z (fractional)
K  0.0000  0.0000  0.0000  6 K 3.62
K  0.0000  0.0000  0.5000  6 K 3.62
K  0.0000  0.5000  0.0000  6 K 3.62
K  0.5000  0.0000  0.0000  6 K 3.62
In  0.3750  0.3750  0.3750  12 K 4.24, 4 In 4.43
In  0.6250  0.6250  0.6250  12 K 4.24, 4 In 4.43

Results
* size of the total moment: 0.00 μB per cell
* theoretical density: 2.40 g cm⁻³
* DFT formation energy: 0.271 eV per atom


Entry from the Alexandria database: a relaxed KIn crystal (PBE).

Unit cell a=3.5789 b=3.5789 c=5.7123 alpha=90.00 beta=90.00 gamma=90.00
Last column: nearest neighbours and their distance in Å.
Element x y z (fractional)
K  0.0000  0.0000  0.0000  4 K 3.58, 8 In 3.82
In  0.5000  0.5000  0.5000  4 In 3.58, 8 K 3.82

Results
* size of the total moment: 0.00 μB per cell
* theoretical density: 3.49 g cm⁻³
* DFT formation energy: 0.077 eV per atom


Entry from the Alexandria database: a relaxed KIn crystal (PBE).

Unit cell a=13.4177 b=13.4177 c=3.6238 alpha=90.00 beta=90.00 gamma=90.00
Last column: nearest neighbours and their distance in Å.
Element x y z (fractional)
K  0.1329  0.6666  0.0000  2 K 3.62, 4 In 3.64-3.78
K  0.1666  0.3671  0.5000  2 K 3.62, 4 In 3.64-3.78
K  0.3334  0.1329  0.0000  2 K 3.62, 4 In 3.64-3.78
K  0.3671  0.8334  0.5000  2 K 3.62, 4 In 3.64-3.78
K  0.6329  0.1666  0.5000  2 K 3.62, 4 In 3.64-3.78
K  0.6666  0.8671  0.0000  2 K 3.62, 4 In 3.64-3.78
K  0.8334  0.6329  0.5000  2 K 3.62, 4 In 3.64-3.78
K  0.8671  0.3334  0.0000  2 K 3.62, 4 In 3.64-3.78
In  0.0605  0.1436  0.0000  2 In 2.96
In  0.1436  0.9395  0.0000  2 In 2.96
In  0.3564  0.5605  0.5000  2 In 2.96
In  0.4395  0.3564  0.5000  2 In 2.96
In  0.5605  0.6437  0.5000  2 In 2.96
In  0.6437  0.4395  0.5000  2 In 2.96
In  0.8564  0.0605  0.0000  2 In 2.96
In  0.9395  0.8564  0.0000  2 In 2.96

Results
* size of the total moment: 0.00 μB per cell
* theoretical density: 3.13 g cm⁻³
* DFT formation energy: 0.034 eV per atom


Entry from the Alexandria database: a relaxed KLa2In crystal (PBE).

Unit cell a=8.2432 b=8.2432 c=8.2432 alpha=90.00 beta=90.00 gamma=90.00
Last column: nearest neighbours and their distance in Å.
Element x y z (fractional)
K  0.0000  0.0000  0.0000  4 In 3.57, 4 La 3.57
K  0.0000  0.5000  0.5000  4 In 3.57, 4 La 3.57
K  0.5000  0.0000  0.5000  4 In 3.57, 4 La 3.57
K  0.5000  0.5000  0.0000  4 In 3.57, 4 La 3.57
La  0.0000  0.0000  0.5000  4 In 3.57, 4 La 3.57
La  0.0000  0.5000  0.0000  4 In 3.57, 4 La 3.57
La  0.2500  0.2500  0.2500  4 La 3.57, 4 K 3.57
La  0.2500  0.7500  0.7500  4 La 3.57, 4 K 3.57
La  0.5000  0.0000  0.0000  4 In 3.57, 4 La 3.57
La  0.5000  0.5000  0.5000  4 In 3.57, 4 La 3.57
La  0.7500  0.2500  0.7500  4 La 3.57, 4 K 3.57
La  0.7500  0.7500  0.2500  4 La 3.57, 4 K 3.57
In  0.2500  0.2500  0.7500  4 La 3.57, 4 K 3.57
In  0.2500  0.7500  0.2500  4 La 3.57, 4 K 3.57
In  0.7500  0.2500  0.2500  4 La 3.57, 4 K 3.57
In  0.7500  0.7500  0.7500  4 La 3.57, 4 K 3.57

Results
* size of the total moment: 7.54 μB per cell
* theoretical density: 5.12 g cm⁻³
* DFT formation energy: 0.214 eV per atom


Entry from the Alexandria database: a relaxed K2LaIn crystal (PBE).

Unit cell a=3.7678 b=3.7678 c=40.7505 alpha=90.00 beta=90.00 gamma=120.00
Last column: nearest neighbours and their distance in Å.
Element x y z (fractional)
K  0.0000  0.0000  0.2413  3 In 3.74, 6 K 3.77
K  0.0000  0.0000  0.7587  3 In 3.74, 6 K 3.77
K  0.3333  0.6667  0.4253  3 In 3.74, 6 K 3.77
K  0.3333  0.6667  0.9080  3 In 3.74, 6 K 3.77
K  0.6667  0.3333  0.0920  3 In 3.74, 6 K 3.77
K  0.6667  0.3333  0.5747  3 In 3.74, 6 K 3.77
La  0.0000  0.0000  0.0000  6 La 3.77
La  0.3333  0.6667  0.6667  6 La 3.77
La  0.6667  0.3333  0.3333  6 La 3.77
In  0.0000  0.0000  0.5000  6 K 3.74, 6 In 3.77
In  0.3333  0.6667  0.1667  6 K 3.74, 6 In 3.77
In  0.6667  0.3333  0.8333  6 K 3.74, 6 In 3.77

Results
* size of the total moment: 0.00 μB per cell
* theoretical density: 3.30 g cm⁻³
* DFT formation energy: 0.237 eV per atom


Entry from the Alexandria database: a relaxed K2LaIn2 crystal (PBE).

Unit cell a=8.3084 b=8.3084 c=5.9958 alpha=90.00 beta=90.00 gamma=90.00
Last column: nearest neighbours and their distance in Å.
Element x y z (fractional)
K  0.1705  0.3295  0.0000  6 In 3.85-3.89, 1 K 4.01, 4 La 4.30
K  0.3295  0.8295  0.0000  6 In 3.85-3.89, 1 K 4.01, 4 La 4.30
K  0.6705  0.1705  0.0000  6 In 3.85-3.89, 1 K 4.01, 4 La 4.30
K  0.8295  0.6705  0.0000  6 In 3.85-3.89, 1 K 4.01, 4 La 4.30
La  0.0000  0.0000  0.5000  4 In 3.29
La  0.5000  0.5000  0.5000  4 In 3.29
In  0.1243  0.6243  0.5000  1 In 2.92
In  0.3757  0.1243  0.5000  1 In 2.92
In  0.6243  0.8757  0.5000  1 In 2.92
In  0.8757  0.3757  0.5000  1 In 2.92

Results
* size of the total moment: 1.58 μB per cell
* theoretical density: 3.58 g cm⁻³
* DFT formation energy: 0.065 eV per atom


Entry from the Alexandria database: a relaxed KLa2In crystal (PBE).

Unit cell a=7.2523 b=11.0259 c=3.4861 alpha=90.00 beta=90.00 gamma=90.00
Last column: nearest neighbours and their distance in Å.
Element x y z (fractional)
K  0.0000  0.0000  0.0000  2 K 3.49, 2 In 3.63, 8 La 3.73
K  0.5000  0.5000  0.0000  2 K 3.49, 2 In 3.63, 8 La 3.73
La  0.2500  0.2500  0.5000  4 La 3.49-3.63, 4 K 3.73, 4 In 3.73
La  0.2500  0.7500  0.5000  4 La 3.49-3.63, 4 K 3.73, 4 In 3.73
La  0.7500  0.2500  0.5000  4 La 3.49-3.63, 4 K 3.73, 4 In 3.73
La  0.7500  0.7500  0.5000  4 La 3.49-3.63, 4 K 3.73, 4 In 3.73
In  0.0000  0.5000  0.0000  2 In 3.49, 2 K 3.63, 8 La 3.73
In  0.5000  0.0000  0.0000  2 In 3.49, 2 K 3.63, 8 La 3.73

Results
* size of the total moment: 0.00 μB per cell
* theoretical density: 5.14 g cm⁻³
* DFT formation energy: 0.171 eV per atom


Entry from the Alexandria database: a relaxed KLa2In crystal (PBE).

Unit cell a=3.9565 b=5.9685 c=5.9791 alpha=90.00 beta=90.00 gamma=90.00
Last column: nearest neighbours and their distance in Å.
Element x y z (fractional)
K  0.0000  0.0000  0.0000  4 In 3.58, 4 La 3.58, 2 K 3.96
La  0.0000  0.5000  0.5000  6 La 3.58-3.96, 4 In 3.58
La  0.5000  0.0000  0.5000  6 La 3.58-3.96, 4 K 3.58
In  0.5000  0.5000  0.0000  4 K 3.58, 4 La 3.58, 2 In 3.96

Results
* size of the total moment: 0.00 μB per cell
* theoretical density: 5.08 g cm⁻³
* DFT formation energy: 0.128 eV per atom


Entry from the Alexandria database: a relaxed K3LaIn crystal (PBE).

Unit cell a=6.8922 b=6.8922 c=6.8922 alpha=90.00 beta=90.00 gamma=90.00
Last column: nearest neighbours and their distance in Å.
Element x y z (fractional)
K  0.0000  0.0000  0.5000  2 La 3.45
K  0.0000  0.5000  0.0000  2 La 3.45
K  0.5000  0.0000  0.0000  2 La 3.45
La  0.0000  0.0000  0.0000  6 K 3.45
In  0.5000  0.5000  0.5000  12 K 4.87

Results
* size of the total moment: 3.94 μB per cell
* theoretical density: 1.88 g cm⁻³
* DFT formation energy: 0.956 eV per atom


Entry from the Alexandria database: a relaxed KLa2In crystal (PBE).

Unit cell a=7.1484 b=12.2129 c=3.5402 alpha=90.00 beta=114.24 gamma=90.00
Last column: nearest neighbours and their distance in Å.
Element x y z (fractional)
K  0.0000  0.0000  0.0000  2 K 3.54, 4 In 3.57-3.86, 4 La 3.61
K  0.5000  0.5000  0.0000  2 K 3.54, 4 In 3.57-3.86, 4 La 3.61
La  0.2500  0.2500  0.5000  6 La 3.54-3.86, 2 K 3.61, 2 In 3.61
La  0.2500  0.7500  0.5000  6 La 3.54-3.86, 2 K 3.61, 2 In 3.61
La  0.7500  0.2500  0.5000  6 La 3.54-3.86, 2 K 3.61, 2 In 3.61
La  0.7500  0.7500  0.5000  6 La 3.54-3.86, 2 K 3.61, 2 In 3.61
In  0.0000  0.5000  0.0000  2 In 3.54, 4 K 3.57-3.86, 4 La 3.61
In  0.5000  0.0000  0.0000  2 In 3.54, 4 K 3.57-3.86, 4 La 3.61

Results
* size of the total moment: 0.00 μB per cell
* theoretical density: 5.09 g cm⁻³
* DFT formation energy: 0.118 eV per atom


Entry from the Alexandria database: a relaxed KLa2In crystal (PBE).

Unit cell a=3.7645 b=6.2168 c=12.9349 alpha=90.00 beta=90.00 gamma=90.00
Last column: nearest neighbours and their distance in Å.
Element x y z (fractional)
K  0.0000  0.0000  0.0000  4 In 3.63, 2 K 3.76
K  0.5000  0.5000  0.5000  4 In 3.63, 2 K 3.76
La  0.0000  0.5000  0.2136  2 In 3.34
La  0.0000  0.5000  0.7864  2 In 3.34
La  0.5000  0.0000  0.2864  2 In 3.34
La  0.5000  0.0000  0.7136  2 In 3.34
In  0.0000  0.0000  0.5000  4 La 3.34, 4 K 3.63
In  0.5000  0.5000  0.0000  4 La 3.34, 4 K 3.63

Results
* size of the total moment: 1.09 μB per cell
* theoretical density: 4.74 g cm⁻³
* DFT formation energy: 0.037 eV per atom